This record from Alexandria describes a relaxed structure of SbAu2C. The functional is PBE.

Structure (CIF):
```
data_SbAu2C
_chemical_formula_sum 'Sb4 Au8 C4'
_cell_length_a 6.583
_cell_length_b 6.583
_cell_length_c 6.583
_cell_angle_alpha 90.00
_cell_angle_beta 90.00
_cell_angle_gamma 90.00
_symmetry_space_group_name_H-M 'F m -3 m'
_symmetry_Int_Tables_number 225
_symmetry_space_group_name_Hall '-F 4 2 3'
loop_
_atom_site_label
_atom_site_type_symbol
_atom_site_fract_x
_atom_site_fract_y
_atom_site_fract_z
_atom_site_occupancy
Sb1 Sb 0.000 0.000 0.000 1
Au1 Au 0.250 0.250 0.250 1
C1 C 0.000 0.000 0.500 1
```

Output
Relative energy among the computed polymorphs, kJ/mol of atoms: 48.3
E, eV per atom: -3.592
N(E_F), states/eV per atom: 0.445
M_tot, μB per atom: 0.000
Raw formation energy, eV/atom: 1.3836